Cr4Cu3SnO12 GGA+U optimized geometry; raw total energy = -6.57 eV per atom; space-group type = No. 204
1.0
-1.970 5.303 -3.003
-1.667 -5.143 -3.435
-2.733 -0.318 5.784
O Cu Sn Cr
12 3 1 4
Direct
0.832 0.136 0.304
0.529 0.696 0.832
0.304 0.168 0.471
0.136 0.304 0.832
0.696 0.168 0.864
0.696 0.832 0.529
0.471 0.304 0.168
0.304 0.832 0.136
0.168 0.864 0.696
0.832 0.529 0.696
0.864 0.696 0.168
0.168 0.471 0.304
0.000 0.500 0.500
0.500 0.000 0.500
0.500 0.500 0.000
0.000 0.000 0.000
0.000 0.000 0.500
0.500 0.000 0.000
0.500 0.500 0.500
0.000 0.500 0.000